# 1
Compound: KU4S8
Source: Alexandria via LeMat-Bulk
Functional: PBE-GGA
Structure: optimized geometry

abc: 8.2331 8.2331 8.2331
angles: 60.00 60.00 60.00
With the nearest neighbours (Å) after each atom.
Fractional positions:
K1 0.0000 0.0000 0.0000  4 S 2.91
U1 0.3768 0.3768 0.3768  6 S 2.72-2.73
U2 0.3768 0.3768 0.8695  6 S 2.72-2.73
U3 0.3768 0.8695 0.3768  6 S 2.72-2.73
U4 0.8695 0.3768 0.3768  6 S 2.72-2.73
S1 0.1445 0.1445 0.1445  3 U 2.73, 1 K 2.91
S2 0.1445 0.1445 0.5664  3 U 2.73, 1 K 2.91
S3 0.1445 0.5664 0.1445  3 U 2.73, 1 K 2.91
S4 0.1712 0.6096 0.6096  3 U 2.72
S5 0.5664 0.1445 0.1445  3 U 2.73, 1 K 2.91
S6 0.6096 0.1712 0.6096  3 U 2.72
S7 0.6096 0.6096 0.1712  3 U 2.72
S8 0.6096 0.6096 0.6096  3 U 2.72

Computed properties:
DFT total energy = -7.456 eV/atom
uncorrected formation energy = -1.36 eV/atom
SG = F-43m (216)
distance to the lowest polymorph of the same formula = 0.0526 eV per atom
calculated density = 5.25 Mg/m³
V = 395 Å³/cell


# 2
Compound: KU3S6
Source: Alexandria via LeMat-Bulk
Functional: PBE-GGA
Structure: optimized geometry

abc: 11.3245 4.1079 11.4757
angles: 90.00 107.93 90.00
With the nearest neighbours (Å) after each atom.
Fractional positions:
K1 0.0814 0.2500 0.1879  7 S 3.25-3.35
K2 0.9186 0.7500 0.8121  7 S 3.25-3.35
U1 0.1606 0.2500 0.5754  6 S 2.70-2.75
U2 0.3185 0.7500 0.9865  7 S 2.70-2.91
U3 0.4903 0.2500 0.3329  7 S 2.73-2.98
U4 0.5097 0.7500 0.6671  7 S 2.73-2.98
U5 0.6815 0.2500 0.0135  7 S 2.70-2.91
U6 0.8394 0.7500 0.4246  6 S 2.70-2.75
S1 0.0753 0.7500 0.4130  3 U 2.72-2.74
S2 0.1547 0.2500 0.9355  2 U 2.71
S3 0.2689 0.7500 0.7223  4 U 2.70-2.98
S4 0.3256 0.7500 0.2342  3 U 2.77-2.82
S5 0.3794 0.2500 0.5182  4 U 2.75-2.79
S6 0.4692 0.2500 0.0893  4 U 2.70-2.80
S7 0.5308 0.7500 0.9107  4 U 2.70-2.80
S8 0.6206 0.7500 0.4818  4 U 2.75-2.79
S9 0.6744 0.2500 0.7658  3 U 2.77-2.82
S10 0.7311 0.2500 0.2777  4 U 2.70-2.98
S11 0.8453 0.7500 0.0645  2 U 2.71
S12 0.9247 0.2500 0.5870  3 U 2.72-2.74

Computed properties:
DFT total energy = -7.370 eV/atom
uncorrected formation energy = -1.40 eV/atom
SG = P2_1/m (11)
calculated density = 6.18 Mg/m³
V = 508 Å³/cell